Below is a relaxed AsSeN3 crystal, with properties calculated at the GGA-PBE level.

Properties
raw formation energy	1.9822	eV/atom
DOS at the Fermi energy	3.18	states/eV per cell

abc: 3.775 3.775 3.775
angles: 90.00 90.00 90.00
Fractional positions:
As  0.500  0.500  0.500
Se  0.000  0.000  0.000
N  0.000  0.500  0.000
N  0.000  0.000  0.500
N  0.500  0.000  0.000